This record from Alexandria describes a relaxed structure of AlCd2Os. The functional is PBE.

VASP energy: -3.961 eV per atom
M_tot: 0.0 Bohr magnetons per cell
space group: No. 8

extended XYZ file:
```
4
Lattice="-1.277 3.710 3.233 -3.995 1.938 2.475 -0.131 -1.681 4.403" Properties=species:S:1:pos:R:3 pbc="T T T"
Os -2.788 2.191 4.881
Al -1.255 0.759 2.728
Cd -5.367 3.978 9.955
Cd -4.097 2.988 7.712
```